# 1
PBE ZrTa2HRh, optimized geometry; final energy = -8.760 eV per atom
1.0
4.019 0.000 0.000
0.000 4.019 0.000
0.000 0.000 4.655
Zr Ta H Rh
1 2 1 1
Cartesian
0.000 0.000 0.000
0.000 2.010 2.328
2.010 0.000 2.328
0.000 0.000 2.328
2.010 2.010 0.000



# 2
PBE Zr2TaHRh, optimized geometry; distance to the lowest polymorph of the same formula = 0.000 eV per atom
1.0
4.647 0.000 0.000
0.000 4.647 0.000
0.000 0.000 3.654
Zr Ta H Rh
2 1 1 1
Cartesian
0.000 2.324 0.000
2.324 0.000 0.000
0.000 0.000 1.827
0.000 0.000 0.000
2.324 2.324 1.827



# 3
PBE TbH8Rh4, optimized geometry; final energy = -4.887 eV per atom
1.0
4.444 -2.777 0.000
4.444 2.777 0.000
-2.592 0.000 4.610
Tb H Rh
1 8 4
Cartesian
0.000 0.000 0.000
1.992 1.114 0.947
-0.213 0.000 2.454
2.146 0.000 3.473
1.992 -1.114 0.947
4.305 1.114 3.663
4.151 0.000 1.137
6.510 0.000 2.156
4.305 -1.114 3.663
3.148 1.357 2.305
0.360 0.000 4.371
5.937 0.000 0.240
3.148 -1.357 2.305



| no. | DOS at the Fermi energy (states/eV/f.u.) |
| --- | --- |
| 1 | 4.6 |
| 2 | 3.3 |
| 3 | 4.5 |